1.
The following is a PBE calculation of a geometry-optimized LuTh2Sn structure, from Alexandria.

Properties
Energy above the lowest structure with this stoichiometry   2.32 kcal/mol of atoms
N(E_F)   4.57 states/eV/cell
Calculated density   10.40 g/cm³
Symmetry   P4/mmm (123)
Total magnetization   0.000 μB per cell

```
data_LuTh2Sn
_space_group_name_H-M_alt 'P 1'
_space_group_IT_number 1
_space_group_name_Hall 'P 1'
_cell_length_a 4.174
_cell_length_b 4.174
_cell_length_c 6.945
_cell_angle_alpha 90.00
_cell_angle_beta 90.00
_cell_angle_gamma 90.00
loop_
_atom_site_label
_atom_site_type_symbol
_atom_site_fract_x
_atom_site_fract_y
_atom_site_fract_z
Lu1 Lu 0.000 0.000 0.000
Th1 Th 0.500 0.500 0.269
Th2 Th 0.500 0.500 0.731
Sn1 Sn 0.000 0.000 0.500
```

2.
The following is a PBE calculation of a geometry-optimized LuThSn2 structure, from Alexandria.

Properties
Energy above the lowest structure with this stoichiometry   0.48 kcal/mol of atoms
N(E_F)   3.17 states/eV/cell
Calculated density   9.92 g/cm³
Symmetry   P4/mmm (123)
Total magnetization   0.007 μB per cell

```
data_LuThSn2
_space_group_name_H-M_alt 'P 1'
_space_group_IT_number 1
_space_group_name_Hall 'P 1'
_cell_length_a 3.497
_cell_length_b 3.497
_cell_length_c 8.817
_cell_angle_alpha 90.00
_cell_angle_beta 90.00
_cell_angle_gamma 90.00
loop_
_atom_site_label
_atom_site_type_symbol
_atom_site_fract_x
_atom_site_fract_y
_atom_site_fract_z
Lu1 Lu 0.000 0.000 0.000
Th1 Th 0.000 0.000 0.500
Sn1 Sn 0.500 0.500 0.237
Sn2 Sn 0.500 0.500 0.763
```

Question: The lowest N(E_F) belongs to which entry?
Answer: LuThSn2

Question: Which of these has the highest N(E_F)?
Answer: LuTh2Sn